Record 1
A plane-wave DFT calculation with PBE-GGA was carried out for RuAuN2 after structural relaxation.

Its total energy is -6.51 eV/atom. The total magnetization comes out at 0.00 μB/f.u. Its calculated volume is 223.0 Å³ per cell. The energy above the most stable polymorph in this dataset is 0.131 eV/atom.

The structure belongs to space group I-42d (No. 122); the cell edges are 5.028, 5.028 and 8.824 Å and the angles 90.00°, 90.00° and 90.00°. The asymmetric unit holds Ru at (0.000, 0.000, 0.000), Au at (0.000, 0.000, 0.500) and N at (0.182, 0.250, 0.125).


Record 2
A plane-wave DFT calculation with PBE-GGA was carried out for RuAuN2 after structural relaxation.

Its total energy is -5.48 eV/atom. The total magnetization comes out at 0.00 μB/f.u. Its calculated volume is 175.9 Å³ per cell. The energy above the most stable polymorph in this dataset is 1.161 eV/atom.

The structure belongs to space group Fm-3m (No. 225); the cell edges are 5.603, 5.603 and 5.603 Å and the angles 90.00°, 90.00° and 90.00°. The asymmetric unit holds Ru at (0.000, 0.000, 0.000), Au at (0.000, 0.000, 0.500) and N at (0.250, 0.250, 0.250).


Record 3
A plane-wave DFT calculation with PBE-GGA was carried out for RuAuN2 after structural relaxation.

Its total energy is -6.00 eV/atom. The total magnetization comes out at 0.00 μB/f.u. Its calculated volume is 155.8 Å³ per cell. The energy above the most stable polymorph in this dataset is 0.648 eV/atom.

The structure belongs to space group R-3m (No. 166, hexagonal axes); the cell edges are 3.0991, 3.0991 and 18.7366 Å and the angles 90.00°, 90.00° and 120.00°. The asymmetric unit holds Ru at (0.0000, 0.0000, 0.0000), Au at (0.0000, 0.0000, 0.5000) and N at (0.0000, 0.0000, 0.1010).


Record 4
A plane-wave DFT calculation with PBE-GGA was carried out for Ru2Au2N after structural relaxation.

Its total energy is -5.20 eV/atom. The total magnetization comes out at 3.00 μB/f.u. Its calculated volume is 158.8 Å³ per cell. The energy above the most stable polymorph in this dataset is 0.000 eV/atom.

The structure belongs to space group P4/mbm (No. 127); the cell edges are 5.909, 5.909 and 4.548 Å and the angles 90.00°, 90.00° and 90.00°. The asymmetric unit holds Ru at (0.146, 0.354, 0.000), Au at (0.173, 0.673, 0.500) and N at (0.000, 0.000, 0.500).